Material: Al2Ni2O7
Method: DFT, PBE with a Hubbard U
State: relaxed Values from VASP.

Energy, eV for the cell shown: -125.2
Symmetry: No. 227

Quantum ESPRESSO input file:
```
&SYSTEM
  ibrav = 0, nat = 22, ntyp = 3
/
ATOMIC_SPECIES
O 16.00 O.upf
Ni 58.69 Ni.upf
Al 26.98 Al.upf
ATOMIC_POSITIONS angstrom
O -3.5647 0.5594 1.6695
O -8.3737 2.6543 2.9398
O -12.2445 0.3937 4.9005
O -7.4658 1.3591 5.3124
Ni -5.7300 1.1127 4.7509
O -5.5790 2.4032 3.4468
Al -4.9641 0.5655 0.2575
Ni -6.7636 2.5872 2.0498
O -9.4498 0.1427 5.4075
O -8.6798 -0.1657 3.2311
Al -3.9304 -0.9090 2.9586
O -5.8851 -0.4167 3.7381
O -6.7930 0.8784 1.3655
O -10.3577 1.4378 3.0350
Al -1.7823 0.2797 0.8347
O -11.9384 3.2136 4.6093
Al -3.5819 2.3014 2.6270
O 0.0000 0.0000 0.0000
O -11.0305 1.9185 6.9818
Ni -8.9117 1.3985 4.1737
O -9.1437 2.9626 5.1163
Ni -7.1121 -0.6232 2.3814
CELL_PARAMETERS angstrom
-4.2962 -2.3774 4.2477
-3.5992 4.0434 3.5846
-6.3634 0.5716 -1.1544
```

***

Material: AlNiO2
Method: DFT, PBE with a Hubbard U
State: relaxed Values from VASP.

Energy, eV for the cell shown: -47.3
Symmetry: No. 122

Quantum ESPRESSO input file:
```
&SYSTEM
  ibrav = 0, nat = 8, ntyp = 3
/
ATOMIC_SPECIES
Al 26.98 Al.upf
O 16.00 O.upf
Ni 58.69 Ni.upf
ATOMIC_POSITIONS angstrom
Al 3.5226 -1.8960 3.9829
O 2.9763 -3.9235 7.1196
Ni 0.0000 0.0000 0.0000
Ni 0.4323 -2.6815 4.9487
O -0.1229 -1.9199 3.0043
Al 1.2222 -2.4056 1.9543
O 2.3449 -1.7399 5.3007
O 2.7115 -1.5716 2.4386
CELL_PARAMETERS angstrom
-1.8681 -3.1912 2.9201
4.3126 -1.6201 0.9884
1.5104 0.2338 5.0231
```

***

Material: Al2NiO
Method: DFT, PBE with a Hubbard U
State: relaxed Values from VASP.

Energy, eV for the cell shown: -36.0
Symmetry: No. 122

Quantum ESPRESSO input file:
```
&SYSTEM
  ibrav = 0, nat = 8, ntyp = 3
/
ATOMIC_SPECIES
Ni 58.69 Ni.upf
Al 26.98 Al.upf
O 16.00 O.upf
ATOMIC_POSITIONS angstrom
Ni 0.0000 0.0000 0.0000
Al 3.4524 -8.3578 -3.5448
Ni 0.6115 -6.0089 -1.7847
O 1.0819 -2.8828 -2.2867
Al 2.8774 -5.6045 -1.5896
O 3.9690 -4.2603 -2.4005
Al 2.9645 -2.6781 -2.0212
Al -0.1333 -3.8979 -1.2147
CELL_PARAMETERS angstrom
-2.2756 -4.6313 -1.6709
4.4395 -1.1342 -2.9024
2.4166 -4.5036 0.3882
```

***

Material: AlNiO3
Method: DFT, PBE with a Hubbard U
State: relaxed Values from VASP.

Energy, eV for the cell shown: -176.9
Symmetry: No. 185

Quantum ESPRESSO input file:
```
&SYSTEM
  ibrav = 0, nat = 30, ntyp = 3
/
ATOMIC_SPECIES
Al 26.98 Al.upf
O 16.00 O.upf
Ni 58.69 Ni.upf
ATOMIC_POSITIONS angstrom
Al 0.0000 0.0000 8.0856
O 2.7928 1.6124 5.7769
Ni 1.8680 3.2354 5.3153
Ni 0.9249 1.6020 0.0008
Ni 1.8498 0.0000 5.3153
Al 2.7928 -1.6124 7.8456
O 0.0000 0.0000 9.9726
O 0.8062 -1.3963 1.8665
O 1.6697 -2.8920 3.4927
Al 0.0000 0.0000 2.7710
O 3.3394 0.0000 8.8073
Al 2.7928 -1.6124 2.5310
O 1.1232 1.9454 8.8073
O 1.9867 -3.4410 7.1810
O 1.1232 -1.9454 8.8073
O 0.0000 0.0000 4.6580
O 2.2463 0.0000 3.4927
Al 2.7928 1.6124 2.5310
O 0.8062 1.3963 1.8665
Al 2.7928 1.6124 7.8456
O 1.6123 0.0000 7.1810
O 1.6697 2.8920 3.4927
Ni 1.8680 -3.2354 5.3153
O 3.9733 0.0000 1.8665
O 2.7928 1.6124 0.4623
O 2.7928 -1.6124 5.7769
Ni 0.9249 -1.6020 0.0008
O 1.9867 3.4410 7.1810
O 2.7928 -1.6124 0.4623
Ni 3.7359 0.0000 0.0008
CELL_PARAMETERS angstrom
2.7928 -4.8373 0.0000
2.7928 4.8373 0.0000
0.0000 0.0000 10.6291
```

***

Material: AlNiO3
Method: DFT, PBE with a Hubbard U
State: relaxed Values from VASP.

Energy, eV for the cell shown: -118.8
Symmetry: No. 62

Quantum ESPRESSO input file:
```
&SYSTEM
  ibrav = 0, nat = 20, ntyp = 3
/
ATOMIC_SPECIES
O 16.00 O.upf
Ni 58.69 Ni.upf
Al 26.98 Al.upf
ATOMIC_POSITIONS angstrom
O 1.2971 3.1624 4.8202
O 3.5074 3.8018 3.2989
O 0.4274 -0.3054 1.8138
O 0.4288 -0.9941 6.0386
Ni -0.6070 -1.2597 3.0632
O 2.6391 -0.3547 4.5173
O 1.0746 -1.9729 3.5419
O 4.0085 2.1818 5.1827
O 1.9444 1.4949 6.5483
Al 1.7019 3.4269 6.8168
Ni 1.9681 1.4038 4.6688
Al 2.2344 -0.6192 2.5207
Al 3.9630 1.2346 6.8270
Al -0.0268 1.5730 2.5105
O 2.8616 4.7806 5.7956
O 1.9918 1.3128 2.7892
O -0.0723 0.6258 4.1548
O 3.5089 3.1131 7.5237
Ni 0.0000 0.0000 0.0000
Ni 2.5751 2.6635 1.6055
CELL_PARAMETERS angstrom
-3.0892 1.0045 3.2884
1.8753 -3.5238 2.8381
5.1502 5.3270 3.2110
```

***

Material: AlNiO3
Method: DFT, PBE with a Hubbard U
State: relaxed Values from VASP.

Energy, eV for the cell shown: -26.6
Symmetry: No. 221

Quantum ESPRESSO input file:
```
&SYSTEM
  ibrav = 0, nat = 5, ntyp = 3
/
ATOMIC_SPECIES
O 16.00 O.upf
Al 26.98 Al.upf
Ni 58.69 Ni.upf
ATOMIC_POSITIONS angstrom
O 1.0602 -1.1675 0.8823
Al 0.0000 0.0000 0.0000
O -1.4528 -0.7090 0.8076
Ni -0.5682 -3.0596 0.3353
O -0.1756 -1.1831 -1.3546
CELL_PARAMETERS angstrom
-2.9056 -1.4180 1.6153
-0.3513 -2.3663 -2.7092
2.1205 -2.3350 1.7645
```

***

Material: AlNiO3
Method: DFT, PBE with a Hubbard U
State: relaxed Values from VASP.

Energy, eV for the cell shown: -24.0
Symmetry: No. 221

Quantum ESPRESSO input file:
```
&SYSTEM
  ibrav = 0, nat = 5, ntyp = 3
/
ATOMIC_SPECIES
O 16.00 O.upf
Ni 58.69 Ni.upf
Al 26.98 Al.upf
ATOMIC_POSITIONS angstrom
O -0.8559 0.9429 -2.2582
Ni -2.5601 1.0063 -1.5859
O -1.9202 1.7416 -0.0333
Al 0.0000 0.0000 0.0000
O -2.3442 -0.6718 -0.8802
CELL_PARAMETERS angstrom
-0.4318 3.3562 -1.4113
-1.2799 -1.4705 -3.1052
-3.4085 0.1269 1.3448
```

***

Material: AlNi3O
Method: DFT, PBE with a Hubbard U
State: relaxed Values from VASP.

Energy above the most stable polymorph in this dataset, eV/atom: 1.244
Energy, eV for the cell shown: -9.8
Symmetry: No. 221

Quantum ESPRESSO input file:
```
&SYSTEM
  ibrav = 0, nat = 5, ntyp = 3
/
ATOMIC_SPECIES
O 16.00 O.upf
Ni 58.69 Ni.upf
Al 26.98 Al.upf
ATOMIC_POSITIONS angstrom
O 2.1977 2.1977 2.1977
Ni 2.1977 0.0000 0.0000
Ni 0.0000 0.0000 2.1977
Ni 0.0000 2.1977 0.0000
Al 0.0000 0.0000 0.0000
CELL_PARAMETERS angstrom
4.3954 0.0000 0.0000
0.0000 4.3954 0.0000
0.0000 0.0000 4.3954
```

***

Material: Al3NiO
Method: DFT, PBE with a Hubbard U
State: relaxed Values from VASP.

Energy above the most stable polymorph in this dataset, eV/atom: 0.000
Energy, eV for the cell shown: -19.6
Symmetry: No. 221

Quantum ESPRESSO input file:
```
&SYSTEM
  ibrav = 0, nat = 5, ntyp = 3
/
ATOMIC_SPECIES
Ni 58.69 Ni.upf
Al 26.98 Al.upf
O 16.00 O.upf
ATOMIC_POSITIONS angstrom
Ni 2.2057 1.6160 2.0890
Al -0.3363 0.4330 1.9095
Al 1.8200 -0.6454 0.4669
O 0.0000 0.0000 0.0000
Al 0.7221 1.8283 -0.2874
CELL_PARAMETERS angstrom
-0.6727 0.8660 3.8190
3.6399 -1.2908 0.9339
1.4442 3.6567 -0.5748
```

***

Material: AlNi3O
Method: DFT, PBE with a Hubbard U
State: relaxed Values from VASP.

Energy above the most stable polymorph in this dataset, eV/atom: 0.000
Energy, eV for the cell shown: -16.0
Symmetry: No. 221

Quantum ESPRESSO input file:
```
&SYSTEM
  ibrav = 0, nat = 5, ntyp = 3
/
ATOMIC_SPECIES
Al 26.98 Al.upf
Ni 58.69 Ni.upf
O 16.00 O.upf
ATOMIC_POSITIONS angstrom
Al 1.9738 1.9738 1.9738
Ni 1.9738 0.0000 0.0000
Ni 0.0000 0.0000 1.9738
Ni 0.0000 1.9738 0.0000
O 0.0000 0.0000 0.0000
CELL_PARAMETERS angstrom
3.9477 0.0000 0.0000
0.0000 3.9477 0.0000
0.0000 0.0000 3.9477
```

***

Material: Al3NiO
Method: DFT, PBE with a Hubbard U
State: relaxed Values from VASP.

Energy above the most stable polymorph in this dataset, eV/atom: 0.424
Energy, eV for the cell shown: -17.5
Symmetry: No. 221

Quantum ESPRESSO input file:
```
&SYSTEM
  ibrav = 0, nat = 5, ntyp = 3
/
ATOMIC_SPECIES
Al 26.98 Al.upf
O 16.00 O.upf
Ni 58.69 Ni.upf
ATOMIC_POSITIONS angstrom
Al 0.5230 -0.7172 1.9928
Al -2.1116 -0.0177 0.5478
Al -0.1639 -2.0602 -0.6985
O -1.7525 -2.7952 1.8421
Ni 0.0000 0.0000 0.0000
CELL_PARAMETERS angstrom
-4.2232 -0.0354 1.0956
-0.3278 -4.1204 -1.3970
1.0460 -1.4345 3.9856
```

***

Material: AlNiOsO6
Method: DFT, PBE with a Hubbard U
State: relaxed Values from VASP.

Energy, eV for the cell shown: -120.8
Symmetry: No. 163

Quantum ESPRESSO input file:
```
&SYSTEM
  ibrav = 0, nat = 18, ntyp = 4
/
ATOMIC_SPECIES
O 16.00 O.upf
Ni 58.69 Ni.upf
Os 190.23 Os.upf
Al 26.98 Al.upf
ATOMIC_POSITIONS angstrom
O -0.0473 -2.5452 3.7740
Ni 3.0132 -1.2640 2.9633
O 0.2177 -3.4076 0.0800
Ni 0.0000 0.0000 0.0000
O 6.8900 -3.6457 2.8169
O 4.7265 -2.3955 2.4934
O 1.8870 -2.5978 1.7846
O -0.4225 -1.2205 1.6639
O 3.2351 -4.6714 3.0392
Os 3.0570 -4.3087 4.9033
O 0.3956 -4.8737 2.3304
O 4.9044 -3.8616 4.7438
O 5.1695 -4.7240 1.0498
Al 5.0783 -4.2245 2.8838
O 5.5446 -6.0487 3.1599
Al 0.0438 -3.0447 1.9400
Os 2.0652 -2.9605 -0.0795
O -1.7678 -3.6235 2.0069
CELL_PARAMETERS angstrom
-3.4842 -2.4970 2.4778
2.5799 -2.2443 -3.5806
6.0264 -2.5279 5.9267
```

***

Computed spin magnetization (μB/cell) in order:
0.000; 2.000; 0.000; 5.965; 3.981; 3.000; 0.866; 3.305; 0.265; 2.342; 0.703; 2.115